(1)
InCo2Pb: relaxed, GGA-PBE.

abc: 9.1500 3.4352 6.9274
angles: 90.00 129.63 90.00
With the nearest neighbours (Å) after each atom.
Space group C2/m (No. 12)
Inequivalent atoms, fractional coordinates:
In (0.0000, 0.0000, 0.0000) [2 per cell]  6 Co 2.68-2.70
Co (0.2239, 0.0000, 0.8760) [4 per cell]  2 Co 2.25
Pb (0.0000, 0.5000, 0.5000) [2 per cell]  4 Co 2.67

Output
- total energy (hartree per atom) = -0.175
- formation energy from the elements (meV/atom) = 401
- E above lowest polymorph (eV per formula unit) = 0.48
- size of the total moment (μB/f.u.) = 2.01



(2)
Th6BiTe5: relaxed, GGA-PBE.

abc: 7.7012 13.7565 7.7320
angles: 90.00 110.46 90.00
With the nearest neighbours (Å) after each atom.
Space group C2/m (No. 12)
Inequivalent atoms, fractional coordinates:
Th (0.2268, 0.0000, 0.2345) [4 per cell]  5 Te 3.13-3.18, 1 Bi 3.22
Th (0.2367, 0.1699, 0.7365) [8 per cell]  5 Te 3.13-3.19, 1 Bi 3.29
Bi (0.0000, 0.5000, 0.0000) [2 per cell]  6 Th 3.22-3.29
Te (0.0000, 0.0000, 0.5000) [2 per cell]  6 Th 3.13
Te (0.0000, 0.1751, 0.0000) [4 per cell]  6 Th 3.15-3.17
Te (0.0000, 0.3457, 0.5000) [4 per cell]  6 Th 3.18-3.19

Output
- total energy (hartree per atom) = -0.231
- size of the total moment (μB/f.u.) = 0.00
- raw formation energy (eV/atom) = -0.941